[1]
# PBE CsAg2Hg, optimized geometry
# DOS(E_F) in states/eV/f.u.: 1.10
# ΔH_f (0 K) in eV per atom: -0.044
# Energy in eV per cell: -21.10
# ρ in g/cm³: 6.57
# Magnetization in μB per formula unit: 0.0
data_CsAg2Hg
_chemical_formula_sum 'Cs3 Ag6 Hg3'
_symmetry_space_group_name_H-M 'R -3 m'
_symmetry_Int_Tables_number 166
_symmetry_space_group_name_Hall '-R 3 2"'
_cell_length_a 4.9718
_cell_length_b 4.9718
_cell_length_c 19.4482
_cell_angle_alpha 90.00
_cell_angle_beta 90.00
_cell_angle_gamma 120.00
loop_
_atom_site_label
_atom_site_fract_x
_atom_site_fract_y
_atom_site_fract_z
Cs1 0.0000 0.0000 0.0000
Ag1 0.0000 0.0000 0.1797
Hg1 0.0000 0.0000 0.5000

***

[2]
# PBE Sm9Er4In11, optimized geometry
# DOS(E_F) in states/eV/f.u.: 20.07
# ΔH_f (0 K) in eV per atom: -0.399
# Energy in eV per cell: -200.84
# ρ in g/cm³: 8.15
# Magnetization in μB per formula unit: 0.0
data_Sm9Er4In11
_chemical_formula_sum 'Sm18 Er8 In22'
_symmetry_space_group_name_H-M 'C m m m'
_symmetry_Int_Tables_number 65
_symmetry_space_group_name_Hall '-C 2 2'
_cell_length_a 17.962
_cell_length_b 21.273
_cell_length_c 3.503
_cell_angle_alpha 90.00
_cell_angle_beta 90.00
_cell_angle_gamma 90.00
loop_
_atom_site_label
_atom_site_fract_x
_atom_site_fract_y
_atom_site_fract_z
Sm1 0.000 0.000 0.000
Sm2 0.116 0.242 0.000
Sm3 0.122 0.413 0.000
Er1 0.152 0.084 0.000
In1 0.000 0.136 0.500
In2 0.000 0.333 0.500
In3 0.000 0.500 0.500
In4 0.238 0.500 0.500
In5 0.244 0.324 0.500

***

[3]
# PBE LiCaMgGe, optimized geometry
# DOS(E_F) in states/eV/f.u.: 2.94
# ΔH_f (0 K) in eV per atom: -0.284
# Energy in eV per cell: -45.06
# ρ in g/cm³: 2.77
# Magnetization in μB per formula unit: 0.0
data_LiCaMgGe
_chemical_formula_sum 'Li4 Ca4 Mg4 Ge4'
_symmetry_space_group_name_H-M 'F -4 3 m'
_symmetry_Int_Tables_number 216
_symmetry_space_group_name_Hall 'F -4 2 3'
_cell_length_a 7.013
_cell_length_b 7.013
_cell_length_c 7.013
_cell_angle_alpha 90.00
_cell_angle_beta 90.00
_cell_angle_gamma 90.00
loop_
_atom_site_label
_atom_site_fract_x
_atom_site_fract_y
_atom_site_fract_z
Li1 0.000 0.000 0.000
Ca1 0.250 0.250 0.250
Mg1 0.250 0.250 0.750
Ge1 0.000 0.000 0.500

***

[4]
# PBE Li8Cd2Cu3, optimized geometry
# DOS(E_F) in states/eV/f.u.: 3.92
# ΔH_f (0 K) in eV per atom: -0.071
# Energy in eV per cell: -30.35
# ρ in g/cm³: 3.74
# Magnetization in μB per formula unit: 0.0
data_Li8Cd2Cu3
_chemical_formula_sum 'Li8 Cd2 Cu3'
_symmetry_space_group_name_H-M 'P 1 2/m 1'
_symmetry_Int_Tables_number 10
_cell_length_a 4.727
_cell_length_b 4.343
_cell_length_c 10.242
_cell_angle_alpha 90.00
_cell_angle_beta 96.14
_cell_angle_gamma 90.00
loop_
_symmetry_equiv_pos_as_xyz
'x,y,z'
'-x,-y,-z'
'-x,y,-z'
'x,-y,z'
loop_
_atom_site_label
_atom_site_fract_x
_atom_site_fract_y
_atom_site_fract_z
Li1 0.067 0.000 0.115
Li2 0.247 0.500 0.591
Li3 0.265 0.500 0.213
Li4 0.336 0.000 0.752
Cd1 0.224 0.000 0.408
Cu1 0.244 0.500 0.952
Cu2 0.500 0.000 0.000

***

[5]
# PBE ZrB2Br, optimized geometry
# DOS(E_F) in states/eV/f.u.: 5.59
# Energy in eV per cell: -71.05
# Energy relative to the elements, uncorrected in eV/atom: 1.45
# ρ in g/cm³: 5.36
# Magnetization in μB per formula unit: 0.0
data_ZrB2Br
_chemical_formula_sum 'Zr4 B8 Br4'
_symmetry_space_group_name_H-M 'F m -3 m'
_symmetry_Int_Tables_number 225
_symmetry_space_group_name_Hall '-F 4 2 3'
_cell_length_a 6.203
_cell_length_b 6.203
_cell_length_c 6.203
_cell_angle_alpha 90.00
_cell_angle_beta 90.00
_cell_angle_gamma 90.00
loop_
_atom_site_label
_atom_site_fract_x
_atom_site_fract_y
_atom_site_fract_z
Zr1 0.000 0.000 0.000
B1 0.250 0.250 0.250
Br1 0.000 0.000 0.500

***

[6]
# PBE HfFe22B6, optimized geometry
# DOS(E_F) in states/eV/f.u.: 16.39
# ΔH_f (0 K) in eV per atom: -0.196
# Energy in eV per cell: -967.57
# ρ in g/cm³: 8.08
# Magnetization in μB per formula unit: 44.1
data_HfFe22B6
_chemical_formula_sum 'Hf4 Fe88 B24'
_symmetry_space_group_name_H-M 'F m -3 m'
_symmetry_Int_Tables_number 225
_symmetry_space_group_name_Hall '-F 4 2 3'
_cell_length_a 10.654
_cell_length_b 10.654
_cell_length_c 10.654
_cell_angle_alpha 90.00
_cell_angle_beta 90.00
_cell_angle_gamma 90.00
loop_
_atom_site_label
_atom_site_fract_x
_atom_site_fract_y
_atom_site_fract_z
Hf1 0.000 0.000 0.000
Fe1 0.000 0.174 0.174
Fe2 0.118 0.118 0.382
Fe3 0.250 0.250 0.250
B1 0.000 0.000 0.272

***

[7]
# PBE Na2PuI2O2, optimized geometry
# DOS(E_F) in states/eV/f.u.: 5.27
# Energy in eV per cell: -86.09
# Energy relative to the elements, uncorrected in eV/atom: -1.87
# ρ in g/cm³: 5.16
# Magnetization in μB per formula unit: 4.0
data_Na2PuI2O2
_chemical_formula_sum 'Na4 Pu2 I4 O4'
_symmetry_space_group_name_H-M 'I 4/m m m'
_symmetry_Int_Tables_number 139
_symmetry_space_group_name_Hall '-I 4 2'
_cell_length_a 4.308
_cell_length_b 4.308
_cell_length_c 19.954
_cell_angle_alpha 90.00
_cell_angle_beta 90.00
_cell_angle_gamma 90.00
loop_
_atom_site_label
_atom_site_fract_x
_atom_site_fract_y
_atom_site_fract_z
Na1 0.000 0.000 0.097
Pu1 0.000 0.000 0.500
I1 0.000 0.000 0.343
O1 0.000 0.500 0.000

***

[8]
# PBE K2MgHgCl6, optimized geometry
# DOS(E_F) in states/eV/f.u.: 0.00
# Energy in eV per cell: -60.45
# Energy relative to the elements, uncorrected in eV/atom: -1.51
# ρ in g/cm³: 3.19
# Magnetization in μB per formula unit: 0.0
data_K2MgHgCl6
_chemical_formula_sum 'K4 Mg2 Hg2 Cl12'
_symmetry_space_group_name_H-M 'P 1 21/c 1'
_symmetry_Int_Tables_number 14
_cell_length_a 7.210
_cell_length_b 7.420
_cell_length_c 12.228
_cell_angle_alpha 90.00
_cell_angle_beta 124.89
_cell_angle_gamma 90.00
loop_
_symmetry_equiv_pos_as_xyz
'x,y,z'
'-x,-y,-z'
'-x,y+1/2,-z+1/2'
'x,-y+1/2,z+1/2'
loop_
_atom_site_label
_atom_site_fract_x
_atom_site_fract_y
_atom_site_fract_z
K1 0.225 0.065 0.247
Mg1 0.000 0.000 0.500
Hg1 0.500 0.000 0.000
Cl1 0.146 0.218 0.957
Cl2 0.239 0.689 0.957
Cl3 0.340 0.016 0.751